First-principles (PBE-GGA) data for crystalline TlHgP2 at its relaxed geometry, as listed in Alexandria.

Calculated values
Formation energy from the elements   0.112 eV per atom
Calculated volume   28.83 Å³ per atom
Density of states at the Fermi level   1.665 states/eV per cell

Cell: 6.351 6.351 6.081 Å, 108.60 108.60 29.87°
Atoms (fractional coordinates):
Tl 0.000 0.000 0.000
Hg 0.500 0.500 0.500
P 0.246 0.246 0.880
P 0.754 0.754 0.120


First-principles (PBE-GGA) data for crystalline Tl4HgP at its relaxed geometry, as listed in Alexandria.

Calculated values
Formation energy from the elements   0.190 eV per atom
Calculated volume   35.57 Å³ per atom
Density of states at the Fermi level   4.950 states/eV per cell

Cell: 8.217 8.217 8.217 Å, 108.59 108.59 111.26°
Atoms (fractional coordinates):
Tl 0.189 0.000 0.189
Tl 0.222 0.520 0.298
Tl 0.222 0.924 0.702
Tl 0.270 0.472 0.798
Tl 0.674 0.472 0.202
Tl 0.750 0.061 0.311
Tl 0.750 0.439 0.689
Tl 0.811 0.000 0.811
Hg 0.483 0.983 0.500
Hg 0.733 0.733 0.000
P 0.226 0.226 0.000
P 0.976 0.476 0.500


First-principles (PBE-GGA) data for crystalline TlHgP2 at its relaxed geometry, as listed in Alexandria.

Calculated values
Formation energy from the elements   0.112 eV per atom
Calculated volume   25.97 Å³ per atom
Density of states at the Fermi level   1.089 states/eV per cell

Cell: 4.138 3.306 7.839 Å, 90.00 104.42 90.00°
Atoms (fractional coordinates):
Tl 0.000 0.000 0.000
Hg 0.338 0.500 0.691
P 0.610 0.500 0.241
P 0.716 0.000 0.426


First-principles (PBE-GGA) data for crystalline TlHgP2 at its relaxed geometry, as listed in Alexandria.

Calculated values
Formation energy from the elements   0.712 eV per atom
Calculated volume   21.41 Å³ per atom
Density of states at the Fermi level   2.841 states/eV per cell

Cell: 4.948 4.948 4.948 Å, 60.00 60.00 60.00°
Atoms (fractional coordinates):
Tl 0.000 0.000 0.000
Hg 0.500 0.500 0.500
P 0.250 0.250 0.250
P 0.750 0.750 0.750